(1)
The following is a GGA-PBE calculation of Rb3AgSn3Se8 after structural relaxation, from the Open Quantum Materials Database.

abc: 8.5532 8.5532 13.7126
angles: 90.00 90.00 90.00
With the nearest neighbours (Å) after each atom.
Atoms (fractional coordinates):
Rb 0.2500 0.2500 0.0000  8 Se 3.69, 2 Rb 3.81
Rb 0.2500 0.2500 0.2777  8 Se 3.48-3.69, 1 Rb 3.81
Rb 0.2500 0.2500 0.7223  8 Se 3.48-3.69, 1 Rb 3.81
Rb 0.7500 0.7500 0.0000  8 Se 3.69, 2 Rb 3.81
Rb 0.7500 0.7500 0.2777  8 Se 3.48-3.69, 1 Rb 3.81
Rb 0.7500 0.7500 0.7223  8 Se 3.48-3.69, 1 Rb 3.81
Ag 0.2500 0.7500 0.0000  4 Se 2.82
Ag 0.7500 0.2500 0.0000  4 Se 2.82
Sn 0.2500 0.7500 0.2414  4 Se 2.52-2.67
Sn 0.2500 0.7500 0.5000  4 Se 2.58
Sn 0.2500 0.7500 0.7586  4 Se 2.52-2.67
Sn 0.7500 0.2500 0.2414  4 Se 2.52-2.67
Sn 0.7500 0.2500 0.5000  4 Se 2.58
Sn 0.7500 0.2500 0.7586  4 Se 2.52-2.67
Se 0.0775 0.5775 0.1388  1 Sn 2.52
Se 0.0775 0.9225 0.8612  1 Sn 2.52
Se 0.0903 0.5903 0.6245  2 Sn 2.58-2.67
Se 0.0903 0.9097 0.3755  2 Sn 2.58-2.67
Se 0.4097 0.5903 0.3755  2 Sn 2.58-2.67
Se 0.4097 0.9097 0.6245  2 Sn 2.58-2.67
Se 0.4225 0.5775 0.8612  1 Sn 2.52
Se 0.4225 0.9225 0.1388  1 Sn 2.52
Se 0.5775 0.0775 0.8612  1 Sn 2.52
Se 0.5775 0.4225 0.1388  1 Sn 2.52
Se 0.5903 0.0903 0.3755  2 Sn 2.58-2.67
Se 0.5903 0.4097 0.6245  2 Sn 2.58-2.67
Se 0.9097 0.0903 0.6245  2 Sn 2.58-2.67
Se 0.9097 0.4097 0.3755  2 Sn 2.58-2.67
Se 0.9225 0.0775 0.1388  1 Sn 2.52
Se 0.9225 0.4225 0.8612  1 Sn 2.52

Summary:
* VASP energy: -3.716 eV per atom

=====

(2)
The following is a GGA-PBE calculation of TmNpTe after structural relaxation, from the Open Quantum Materials Database.

abc: 5.0512 5.0512 5.0512
angles: 60.00 60.00 60.00
With the nearest neighbours (Å) after each atom.
Atoms (fractional coordinates):
Tm 0.0000 0.0000 0.0000  4 Te 3.09
Np 0.5000 0.5000 0.5000  4 Te 3.09
Te 0.7500 0.7500 0.7500  4 Np 3.09, 4 Tm 3.09

Summary:
* M_tot: 1.946 μB/atom
* VASP energy: -6.799 eV per atom

=====

(3)
The following is a GGA-PBE calculation of ErScCu2Sn2 after structural relaxation, from the Open Quantum Materials Database.

abc: 4.4620 4.4620 7.0041
angles: 90.00 90.00 120.00
With the nearest neighbours (Å) after each atom.
Atoms (fractional coordinates):
Er 0.0000 0.0000 0.0000  3 Cu 2.88, 3 Sn 3.07
Sc 0.0000 0.0000 0.4992  3 Cu 2.84, 6 Sn 3.01-3.16
Cu 0.3333 0.6667 0.8163  4 Sn 2.66-2.96, 3 Er 2.88
Cu 0.6667 0.3333 0.3297  4 Sn 2.65-2.74, 3 Sc 2.84
Sn 0.3333 0.6667 0.2391  4 Cu 2.65-2.96
Sn 0.6667 0.3333 0.7209  4 Cu 2.66-2.74

Summary:
* M_tot: 0.000 μB/atom
* VASP energy: -4.954 eV per atom

=====

(4)
The following is a GGA-PBE calculation of Sr2LiOsS6 after structural relaxation, from the Open Quantum Materials Database.

abc: 5.6158 6.7670 6.7742
angles: 92.15 114.41 114.31
With the nearest neighbours (Å) after each atom.
Atoms (fractional coordinates):
Sr 0.0120 0.2718 0.2544  7 S 2.88-3.21
Sr 0.9880 0.7282 0.7456  7 S 2.88-3.21
Li 0.5000 0.5000 0.0000  6 S 2.45-2.67
Os 0.5000 0.0000 0.5000  6 S 2.37-2.41
S 0.9996 0.1799 0.7831  1 Os 2.37, 1 Li 2.47, 1 S 2.58
S 0.0004 0.8201 0.2169  1 Os 2.37, 1 Li 2.47, 1 S 2.58
S 0.4082 0.6703 0.6433  1 Os 2.41, 1 Li 2.67
S 0.4590 0.1786 0.7830  1 Os 2.37, 1 Li 2.45, 1 S 2.58
S 0.5410 0.8214 0.2170  1 Os 2.37, 1 Li 2.45, 1 S 2.58
S 0.5918 0.3297 0.3567  1 Os 2.41, 1 Li 2.67

Summary:
* M_tot: 0.053 μB/atom
* VASP energy: -5.024 eV per atom

=====

(5)
The following is a GGA-PBE calculation of YBeInCu after structural relaxation, from the Open Quantum Materials Database.

abc: 4.6921 4.6921 4.6921
angles: 60.00 60.00 60.00
With the nearest neighbours (Å) after each atom.
Atoms (fractional coordinates):
Y 0.0000 0.0000 0.0000  4 Be 2.87, 4 In 2.87
Be 0.7500 0.7500 0.7500  4 Cu 2.87, 4 Y 2.87
In 0.2500 0.2500 0.2500  4 Cu 2.87, 4 Y 2.87
Cu 0.5000 0.5000 0.5000  4 In 2.87, 4 Be 2.87

Summary:
* M_tot: 0.000 μB/atom
* VASP energy: -4.084 eV per atom

=====

(6)
The following is a GGA-PBE calculation of PmSmAg after structural relaxation, from the Open Quantum Materials Database.

abc: 4.9953 4.9953 4.9953
angles: 60.00 60.00 60.00
With the nearest neighbours (Å) after each atom.
Atoms (fractional coordinates):
Pm 0.0000 0.0000 0.0000  4 Sm 3.06
Sm 0.7500 0.7500 0.7500  4 Ag 3.06, 4 Pm 3.06
Ag 0.5000 0.5000 0.5000  4 Sm 3.06

Summary:
* M_tot: 0.001 μB/atom
* ΔH_f (0 K): 137 kJ/mol of formula units

=====

(7)
The following is a GGA-PBE calculation of Dy2ErFe2Co7 after structural relaxation, from the Open Quantum Materials Database.

abc: 8.4221 8.4221 8.4221
angles: 34.77 34.77 34.77
With the nearest neighbours (Å) after each atom.
Atoms (fractional coordinates):
Dy 0.1407 0.1407 0.1407  12 Co 2.88-3.01, 3 Dy 3.16
Dy 0.8593 0.8593 0.8593  12 Co 2.88-3.01, 3 Dy 3.16
Er 0.0000 0.0000 0.0000  6 Fe 2.91, 12 Co 3.17
Fe 0.3337 0.3337 0.3337  6 Co 2.41-2.42
Fe 0.6663 0.6663 0.6663  6 Co 2.41-2.42
Co 0.0807 0.5820 0.5820  2 Fe 2.41-2.42, 5 Co 2.49-2.52
Co 0.4180 0.4180 0.9193  2 Fe 2.41-2.42, 5 Co 2.49-2.52
Co 0.4180 0.9193 0.4180  2 Fe 2.41-2.42, 5 Co 2.49-2.52
Co 0.5000 0.5000 0.5000  6 Co 2.49
Co 0.5820 0.0807 0.5820  2 Fe 2.41-2.42, 5 Co 2.49-2.52
Co 0.5820 0.5820 0.0807  2 Fe 2.41-2.42, 5 Co 2.49-2.52
Co 0.9193 0.4180 0.4180  2 Fe 2.41-2.42, 5 Co 2.49-2.52

Summary:
* M_tot: 1.049 μB/atom
* ΔH_f (0 K): -214 kJ/mol of formula units

=====

(8)
The following is a GGA-PBE calculation of TmNbOs after structural relaxation, from the Open Quantum Materials Database.

abc: 4.4916 4.4916 4.4916
angles: 60.00 60.00 60.00
With the nearest neighbours (Å) after each atom.
Atoms (fractional coordinates):
Tm 0.0000 0.0000 0.0000  4 Nb 2.75, 4 Os 2.75
Nb 0.7500 0.7500 0.7500  4 Tm 2.75
Os 0.2500 0.2500 0.2500  4 Tm 2.75

Summary:
* M_tot: 0.019 μB/atom
* ΔH_f (0 K): 373 kJ/mol of formula units

=====

(9)
The following is a GGA-PBE calculation of HoCdIn after structural relaxation, from the Open Quantum Materials Database.

abc: 4.8517 4.8517 4.8517
angles: 60.00 60.00 60.00
With the nearest neighbours (Å) after each atom.
Atoms (fractional coordinates):
Ho 0.0000 0.0000 0.0000  4 Cd 2.97
Cd 0.2500 0.2500 0.2500  4 In 2.97, 4 Ho 2.97
In 0.5000 0.5000 0.5000  4 Cd 2.97

Summary:
* M_tot: 0.000 μB/atom
* VASP energy: -3.000 eV per atom

=====

(10)
The following is a GGA-PBE calculation of PrNdSi2 after structural relaxation, from the Open Quantum Materials Database.

abc: 5.6260 3.8053 9.8453
angles: 90.00 91.00 90.00
With the nearest neighbours (Å) after each atom.
Atoms (fractional coordinates):
Pr 0.1189 0.2500 0.3081  5 Si 3.14-3.31
Pr 0.8811 0.7500 0.6919  5 Si 3.14-3.31
Nd 0.3828 0.2500 0.8631  5 Si 2.91-3.02
Nd 0.6172 0.7500 0.1369  5 Si 2.91-3.02
Si 0.1174 0.7500 0.0445  2 Si 2.47
Si 0.4449 0.2500 0.5700  2 Si 2.44
Si 0.5551 0.7500 0.4300  2 Si 2.44
Si 0.8826 0.2500 0.9555  2 Si 2.47

Summary:
* M_tot: 0.006 μB/atom
* VASP energy: -5.514 eV per atom

=====

(11)
The following is a GGA-PBE calculation of TmCuSi2Os after structural relaxation, from the Open Quantum Materials Database.

abc: 5.7513 5.7513 5.7513
angles: 139.48 139.48 58.65
With the nearest neighbours (Å) after each atom.
Atoms (fractional coordinates):
Tm 0.0000 0.0000 0.0000  8 Si 3.06, 4 Os 3.20, 4 Cu 3.20
Cu 0.2500 0.7500 0.5000  4 Si 2.39
Si 0.3819 0.3819 0.0000  1 Si 2.37, 2 Os 2.39, 2 Cu 2.39
Si 0.6181 0.6181 0.0000  1 Si 2.37, 2 Os 2.39, 2 Cu 2.39
Os 0.7500 0.2500 0.5000  4 Si 2.39

Summary:
* M_tot: 0.000 μB/atom
* VASP energy: -6.614 eV per atom

=====

(12)
The following is a GGA-PBE calculation of BaZrSi3O9 after structural relaxation, from the Open Quantum Materials Database.

abc: 6.7655 6.7655 10.0200
angles: 90.00 90.00 120.00
With the nearest neighbours (Å) after each atom.
Atoms (fractional coordinates):
Ba 0.0000 0.0000 0.0000  6 O 2.74
Ba 0.0000 0.0000 0.5000  6 O 2.74
Zr 0.6667 0.3333 0.0000  6 O 2.09
Zr 0.6667 0.3333 0.5000  6 O 2.09
Si 0.0546 0.4411 0.2500  4 O 1.62-1.65
Si 0.0546 0.6135 0.7500  4 O 1.62-1.65
Si 0.3866 0.4411 0.7500  4 O 1.62-1.65
Si 0.3866 0.9454 0.2500  4 O 1.62-1.65
Si 0.5589 0.6135 0.2500  4 O 1.62-1.65
Si 0.5589 0.9454 0.7500  4 O 1.62-1.65
O 0.1322 0.4186 0.7500  2 Si 1.65
O 0.1322 0.7137 0.2500  2 Si 1.65
O 0.2863 0.4186 0.2500  2 Si 1.65
O 0.2863 0.8678 0.7500  2 Si 1.65
O 0.4010 0.0848 0.1159  1 Si 1.62
O 0.4010 0.0848 0.3841  1 Si 1.62
O 0.4010 0.3162 0.6159  1 Si 1.62
O 0.4010 0.3162 0.8841  1 Si 1.62
O 0.5814 0.7137 0.7500  2 Si 1.65
O 0.5814 0.8678 0.2500  2 Si 1.65
O 0.6838 0.0848 0.6159  1 Si 1.62
O 0.6838 0.0848 0.8841  1 Si 1.62
O 0.6838 0.5990 0.1159  1 Si 1.62
O 0.6838 0.5990 0.3841  1 Si 1.62
O 0.9152 0.3162 0.1159  1 Si 1.62
O 0.9152 0.3162 0.3841  1 Si 1.62
O 0.9152 0.5990 0.6159  1 Si 1.62
O 0.9152 0.5990 0.8841  1 Si 1.62

Summary:
* M_tot: 0.000 μB/atom
* VASP energy: -8.103 eV per atom